First-principles (PBE) data for an optimized crystal structure of ZrZnCl2, as listed in Alexandria via LeMat-Bulk.

Calculated total energy ... -4.1766 eV per atom
Energy relative to the elements, uncorrected ... -0.798 eV per atom
Calculated volume ... 23.5 Å³ per atom
Offset from the most stable computed form ... 0.161 eV/atom
DOS(E_F) ... 0.54 states/eV/f.u.

Lattice parameters (Å, degrees): 3.339 3.339 9.505 90.00 90.00 117.61
Element x y z (fractional)
Zr (0.500, 0.500, 0.734)
Cl (0.000, 0.000, 0.938)
Zn (0.000, 0.000, 0.497)
Cl (0.500, 0.500, 0.331)



First-principles (PBE) data for an optimized crystal structure of ZrZn2Cl, as listed in Alexandria via LeMat-Bulk.

Calculated total energy ... -3.5285 eV per atom
Energy relative to the elements, uncorrected ... -0.293 eV per atom
Calculated volume ... 18.8 Å³ per atom
Offset from the most stable computed form ... 0.151 eV/atom
DOS(E_F) ... 3.20 states/eV/f.u.

Lattice parameters (Å, degrees): 5.059 5.059 5.252 67.65 67.65 37.61
Element x y z (fractional)
Zn (0.764, 0.764, 0.826)
Zr (0.501, 0.501, 0.387)
Cl (0.220, 0.220, 0.365)
Zn (0.014, 0.014, 0.922)



First-principles (PBE) data for an optimized crystal structure of ZrZnCl2, as listed in Alexandria via LeMat-Bulk.

Calculated total energy ... -3.7020 eV per atom
Energy relative to the elements, uncorrected ... -0.323 eV per atom
Calculated volume ... 19.3 Å³ per atom
Offset from the most stable computed form ... 0.635 eV/atom
DOS(E_F) ... 2.47 states/eV/f.u.

Lattice parameters (Å, degrees): 5.867 5.867 5.867 141.66 141.66 55.34
Element x y z (fractional)
Zr (0.750, 0.250, 0.500)
Cl (0.000, 0.000, 0.000)
Zn (0.500, 0.500, 0.000)
Cl (0.250, 0.750, 0.500)



First-principles (PBE) data for an optimized crystal structure of ZrZn2Cl, as listed in Alexandria via LeMat-Bulk.

Calculated total energy ... -3.4802 eV per atom
Energy relative to the elements, uncorrected ... -0.245 eV per atom
Calculated volume ... 18.9 Å³ per atom
Offset from the most stable computed form ... 0.199 eV/atom
DOS(E_F) ... 2.51 states/eV/f.u.

Lattice parameters (Å, degrees): 6.088 5.281 3.155 89.87 59.05 115.01
Element x y z (fractional)
Zn (0.000, 0.000, 0.000)
Cl (0.500, 0.500, 0.000)
Zn (0.500, 0.000, 0.500)
Zr (0.000, 0.500, 0.500)



First-principles (PBE) data for an optimized crystal structure of Zr2Zn2Cl, as listed in Alexandria via LeMat-Bulk.

Calculated total energy ... -4.6820 eV per atom
Energy relative to the elements, uncorrected ... -0.384 eV per atom
Calculated volume ... 19.8 Å³ per atom
DOS(E_F) ... 2.21 states/eV/f.u.

Lattice parameters (Å, degrees): 6.848 6.848 4.228 90.00 90.00 90.00
Element x y z (fractional)
Zn (0.365, 0.135, 0.500)
Zr (0.663, 0.163, 0.000)
Zn (0.135, 0.635, 0.500)
Cl (0.000, 0.000, 0.000)
Cl (0.500, 0.500, 0.000)
Zn (0.635, 0.865, 0.500)
Zr (0.163, 0.337, 0.000)
Zr (0.337, 0.837, 0.000)
Zn (0.865, 0.365, 0.500)
Zr (0.837, 0.663, 0.000)



First-principles (PBE) data for an optimized crystal structure of ZrZnCl2, as listed in Alexandria via LeMat-Bulk.

Calculated total energy ... -4.1822 eV per atom
Energy relative to the elements, uncorrected ... -0.803 eV per atom
Calculated volume ... 24.0 Å³ per atom
Offset from the most stable computed form ... 0.155 eV/atom
DOS(E_F) ... 1.47 states/eV/f.u.

Lattice parameters (Å, degrees): 3.181 3.181 9.505 90.00 90.00 90.00
Element x y z (fractional)
Cl (0.000, 0.000, 0.585)
Zr (0.500, 0.500, 0.750)
Cl (0.000, 0.000, 0.915)
Zn (0.500, 0.500, 0.250)



First-principles (PBE) data for an optimized crystal structure of ZrZn2Cl, as listed in Alexandria via LeMat-Bulk.

Calculated total energy ... -3.3218 eV per atom
Energy relative to the elements, uncorrected ... -0.086 eV per atom
Calculated volume ... 19.4 Å³ per atom
Offset from the most stable computed form ... 0.358 eV/atom
DOS(E_F) ... 0.68 states/eV/f.u.

Lattice parameters (Å, degrees): 4.723 4.723 3.472 90.00 90.00 90.00
Element x y z (fractional)
Zn (0.000, 0.000, 0.000)
Zn (0.500, 0.500, 0.000)
Cl (0.000, 0.500, 0.500)
Zr (0.500, 0.000, 0.500)



First-principles (PBE) data for an optimized crystal structure of ZrZnCl2, as listed in Alexandria via LeMat-Bulk.

Calculated total energy ... -3.6924 eV per atom
Energy relative to the elements, uncorrected ... -0.314 eV per atom
Calculated volume ... 19.9 Å³ per atom
Offset from the most stable computed form ... 0.645 eV/atom
DOS(E_F) ... 3.76 states/eV/f.u.

Lattice parameters (Å, degrees): 5.075 5.075 3.220 90.00 90.00 106.60
Element x y z (fractional)
Zn (0.500, 0.000, 0.500)
Zr (0.000, 0.500, 0.500)
Cl (0.500, 0.500, 0.000)
Cl (0.000, 0.000, 0.000)



First-principles (PBE) data for an optimized crystal structure of ZrZnCl3, as listed in Alexandria via LeMat-Bulk.

Calculated total energy ... -3.2897 eV per atom
Energy relative to the elements, uncorrected ... -0.217 eV per atom
Calculated volume ... 23.1 Å³ per atom
Offset from the most stable computed form ... 0.792 eV/atom
DOS(E_F) ... 4.65 states/eV/f.u.

Lattice parameters (Å, degrees): 4.868 4.868 4.868 90.00 90.00 90.00
Element x y z (fractional)
Cl (0.000, 0.500, 0.000)
Zn (0.000, 0.000, 0.000)
Zr (0.500, 0.500, 0.500)
Cl (0.500, 0.000, 0.000)
Cl (0.000, 0.000, 0.500)



First-principles (PBE) data for an optimized crystal structure of ZrZnCl, as listed in Alexandria via LeMat-Bulk.

Calculated total energy ... -3.7520 eV per atom
Energy relative to the elements, uncorrected ... 0.138 eV per atom
Calculated volume ... 21.9 Å³ per atom
Offset from the most stable computed form ... 0.768 eV/atom
DOS(E_F) ... 3.12 states/eV/f.u.

Lattice parameters (Å, degrees): 4.530 4.530 4.530 60.00 60.00 60.00
Element x y z (fractional)
Zn (0.500, 0.500, 0.500)
Cl (0.000, 0.000, 0.000)
Zr (0.750, 0.750, 0.750)



First-principles (PBE) data for an optimized crystal structure of ZrZnCl2, as listed in Alexandria via LeMat-Bulk.

Calculated total energy ... -4.0943 eV per atom
Energy relative to the elements, uncorrected ... -0.715 eV per atom
Calculated volume ... 20.2 Å³ per atom
Offset from the most stable computed form ... 0.243 eV/atom
DOS(E_F) ... 0.98 states/eV/f.u.

Lattice parameters (Å, degrees): 4.840 3.470 5.112 70.16 90.00 90.00
Element x y z (fractional)
Zn (0.000, 0.530, 0.564)
Zr (0.500, 0.933, 0.759)
Cl (0.500, 0.220, 0.186)
Cl (0.000, 0.817, 0.991)



First-principles (PBE) data for an optimized crystal structure of ZrZn2Cl, as listed in Alexandria via LeMat-Bulk.

Calculated total energy ... -3.4663 eV per atom
Energy relative to the elements, uncorrected ... -0.231 eV per atom
Calculated volume ... 18.7 Å³ per atom
Offset from the most stable computed form ... 0.213 eV/atom
DOS(E_F) ... 2.31 states/eV/f.u.

Lattice parameters (Å, degrees): 6.157 6.157 4.340 70.32 70.32 28.95
Element x y z (fractional)
Zn (0.019, 0.019, 0.980)
Cl (0.250, 0.250, 0.250)
Zr (0.750, 0.750, 0.750)
Zn (0.481, 0.481, 0.520)



Among the records above, which one has the highest energy relative to the elements, uncorrected?
ZrZnCl



Look up the DOS(E_F) of the seventh one.
0.68 states/eV/f.u.



What is the formula in the ninth record?
ZrZnCl3